Record 1
Density functional theory data (PBE) for a relaxed Tb6PmYTm2 crystal.

The value obtained for the density of states at the Fermi level is 1.49 states/eV/atom. The energy of formation is 120 meV per atom. The calculated total energy is -4.674 eV per atom.

The space group is C2/c (No. 15) and the conventional cell measures 9.071, 15.044 and 9.580 Å, with angles of 90.00, 97.53 and 90.00 degrees. The asymmetric unit holds Tb at (0.063, 0.184, 0.445), Tb at (0.103, 0.394, 0.621), Tb at (0.204, 0.227, 0.817), Pm at (0.000, 0.407, 0.250), Y at (0.000, 0.025, 0.750) and Tm at (0.247, 0.053, 0.044).

---

Record 2
Density functional theory data (PBE) for a relaxed Tb2Pm2Y4Tm crystal.

The value obtained for the density of states at the Fermi level is 1.40 states/eV/atom. The energy of formation is -1 meV per atom. The calculated total energy is -5.456 eV per atom.

The space group is C2/m (No. 12) and the conventional cell measures 18.728, 3.609 and 9.592 Å, with angles of 90.00, 115.69 and 90.00 degrees. The asymmetric unit holds Tb at (0.148, 0.000, 0.165), Pm at (0.165, 0.500, 0.498), Y at (0.019, 0.500, 0.834), Y at (0.185, 0.000, 0.834) and Tm at (0.000, 0.000, 0.500).

---

Record 3
Density functional theory data (PBE) for a relaxed Tb2PmYTm6 crystal.

The value obtained for the density of states at the Fermi level is 1.43 states/eV/atom. The energy of formation is 120 meV per atom. The calculated total energy is -4.611 eV per atom.

The space group is C2/c (No. 15) and the conventional cell measures 8.961, 14.960 and 9.498 Å, with angles of 90.00, 97.67 and 90.00 degrees. The asymmetric unit holds Tb at (0.249, 0.053, 0.045), Pm at (0.000, 0.023, 0.750), Y at (0.000, 0.408, 0.250), Tm at (0.064, 0.189, 0.442), Tm at (0.101, 0.392, 0.619) and Tm at (0.204, 0.226, 0.817).

---

Record 4
Density functional theory data (PBE) for a relaxed Tb2Pm2YTm2 crystal.

The value obtained for the density of states at the Fermi level is 1.42 states/eV/atom. The energy of formation is 21 meV per atom. The calculated total energy is -4.861 eV per atom.

The space group is C2/m (No. 12) and the conventional cell measures 11.287, 5.043 and 7.979 Å, with angles of 90.00, 98.26 and 90.00 degrees. The asymmetric unit holds Tb at (0.071, 0.000, 0.217), Pm at (0.143, 0.500, 0.929), Y at (0.000, 0.500, 0.500) and Tm at (0.215, 0.000, 0.641).

---

Record 5
Density functional theory data (PBE) for a relaxed TbPmYTm crystal.

The value obtained for the density of states at the Fermi level is 2.24 states/eV/atom. The value obtained for the distance to the lowest polymorph of the same formula is 111.3 meV/atom. The energy of formation is 133 meV per atom. The calculated total energy is -4.946 eV per atom.

The space group is F-43m (No. 216) and the conventional cell measures 8.049, 8.049 and 8.049 Å, with angles of 90.00, 90.00 and 90.00 degrees. The asymmetric unit holds Tb at (0.000, 0.000, 0.000), Pm at (0.250, 0.250, 0.750), Y at (0.250, 0.250, 0.250) and Tm at (0.000, 0.000, 0.500).

---

Record 6
Density functional theory data (PBE) for a relaxed TbPmY6Tm2 crystal.

The value obtained for the density of states at the Fermi level is 1.57 states/eV/atom. The energy of formation is 121 meV per atom. The calculated total energy is -5.589 eV per atom.

The space group is C2/c (No. 15) and the conventional cell measures 9.160, 14.933 and 9.604 Å, with angles of 90.00, 97.98 and 90.00 degrees. The asymmetric unit holds Tb at (0.000, 0.027, 0.250), Pm at (0.000, 0.408, 0.750), Y at (0.064, 0.182, 0.944), Y at (0.099, 0.393, 0.118), Y at (0.206, 0.225, 0.318) and Tm at (0.245, 0.051, 0.547).

---

Record 7
Density functional theory data (PBE) for a relaxed Tb2Pm2Y6Tm crystal.

The value obtained for the density of states at the Fermi level is 1.69 states/eV/atom. The energy of formation is 141 meV per atom. The calculated total energy is -5.497 eV per atom.

The space group is Cmmm (No. 65) and the conventional cell measures 5.676, 12.061 and 10.586 Å, with angles of 90.00, 90.00 and 90.00 degrees. The asymmetric unit holds Tb at (0.000, 0.207, 0.000), Pm at (0.000, 0.133, 0.500), Y at (0.000, 0.000, 0.202), Y at (0.000, 0.348, 0.292) and Tm at (0.000, 0.500, 0.000).

---

Record 8
Density functional theory data (PBE) for a relaxed Tb3Pm6Y2Tm crystal.

The value obtained for the density of states at the Fermi level is 1.19 states/eV/atom. The energy of formation is 12 meV per atom. The calculated total energy is -4.971 eV per atom.

The space group is C2/m (No. 12) and the conventional cell measures 6.254, 10.829 and 11.863 Å, with angles of 90.00, 100.08 and 90.00 degrees. The asymmetric unit holds Tb at (0.000, 0.000, 0.000), Tb at (0.000, 0.333, 0.000), Pm at (0.249, 0.500, 0.250), Pm at (0.250, 0.166, 0.250), Y at (0.000, 0.167, 0.500) and Tm at (0.000, 0.500, 0.500).

---

Record 9
Density functional theory data (PBE) for a relaxed Tb2PmY6Tm3 crystal.

The value obtained for the density of states at the Fermi level is 1.47 states/eV/atom. The energy of formation is 24 meV per atom. The calculated total energy is -5.494 eV per atom.

The space group is C2/m (No. 12) and the conventional cell measures 6.162, 10.661 and 11.782 Å, with angles of 90.00, 100.00 and 90.00 degrees. The asymmetric unit holds Tb at (0.000, 0.167, 0.000), Pm at (0.000, 0.500, 0.000), Y at (0.249, 0.167, 0.747), Y at (0.249, 0.500, 0.747), Tm at (0.000, 0.000, 0.500) and Tm at (0.000, 0.333, 0.500).

---

Record 10
Density functional theory data (PBE) for a relaxed Tb4Pm2YTm2 crystal.

The value obtained for the density of states at the Fermi level is 1.36 states/eV/atom. The energy of formation is 14 meV per atom. The calculated total energy is -4.811 eV per atom.

The space group is C2/m (No. 12) and the conventional cell measures 18.677, 3.602 and 9.564 Å, with angles of 90.00, 115.69 and 90.00 degrees. The asymmetric unit holds Tb at (0.019, 0.000, 0.331), Tb at (0.185, 0.500, 0.331), Pm at (0.148, 0.500, 0.668), Y at (0.000, 0.500, 0.000) and Tm at (0.167, 0.000, 0.001).

---

Record 11
Density functional theory data (PBE) for a relaxed Tb3PmY6Tm2 crystal.

The value obtained for the density of states at the Fermi level is 1.40 states/eV/atom. The energy of formation is 21 meV per atom. The calculated total energy is -5.510 eV per atom.

The space group is C2/m (No. 12) and the conventional cell measures 6.168, 10.673 and 11.806 Å, with angles of 90.00, 99.97 and 90.00 degrees. The asymmetric unit holds Tb at (0.000, 0.000, 0.000), Tb at (0.000, 0.333, 0.000), Pm at (0.000, 0.500, 0.500), Y at (0.249, 0.167, 0.250), Y at (0.250, 0.000, 0.750) and Tm at (0.000, 0.167, 0.500).

---

Record 12
Density functional theory data (PBE) for a relaxed Tb6Pm2YTm crystal.

The value obtained for the density of states at the Fermi level is 1.33 states/eV/atom. The energy of formation is 113 meV per atom. The calculated total energy is -4.709 eV per atom.

The space group is C2/c (No. 15) and the conventional cell measures 9.039, 15.150 and 9.652 Å, with angles of 90.00, 98.26 and 90.00 degrees. The asymmetric unit holds Tb at (0.062, 0.189, 0.444), Tb at (0.105, 0.395, 0.619), Tb at (0.204, 0.223, 0.812), Pm at (0.249, 0.053, 0.043), Y at (0.000, 0.020, 0.750) and Tm at (0.000, 0.408, 0.250).